La2IrOs | PBE | relaxed

```
La2IrOs
1.0
3.9231 0.0000 0.0000
-1.9616 3.3975 0.0000
0.0000 0.0000 22.9743
La Ir Os
6 3 3
Direct
0.0000 0.0000 0.2460
0.0000 0.0000 0.7540
0.3333 0.6667 0.4207
0.3333 0.6667 0.9126
0.6667 0.3333 0.0874
0.6667 0.3333 0.5793
0.0000 0.0000 0.5000
0.3333 0.6667 0.1667
0.6667 0.3333 0.8333
0.0000 0.0000 0.0000
0.3333 0.6667 0.6667
0.6667 0.3333 0.3333
```

Calculated values
* total moment: 0.00 μB/f.u.
* E_tot: -88.21 eV/cell
* crystal system: trigonal
* space-group type: R-3m, No. 166
* excess energy over the best structure of this formula in the dataset: 411.3 meV per atom
* formation energy: 0.1355 eV per atom